Entry from the Alexandria database: a crystal of CoBrCl2 relaxed with PBEsol (meta-GGA SCAN).

The structure belongs to space group R3m (No. 160, hexagonal axes); the cell edges are 3.4358, 3.4358 and 21.6251 Å and the angles 90.00°, 90.00° and 120.00°. The asymmetric unit holds Co at (0.0000, 0.0000, 0.0000), Br at (0.0000, 0.0000, 0.7268), Cl at (0.0000, 0.0000, 0.2787) and Cl at (0.0000, 0.0000, 0.4887).

The value obtained for the formation energy (no corrections) is -5.37 kcal/mol of atoms. Its relative energy among the computed polymorphs is 0.029 eV/atom.